# 1
VIn2Cu: relaxed, PBE.

The structure belongs to space group R-3m (No. 166, hexagonal axes); the cell edges are 3.0203, 3.0203 and 29.7770 Å and the angles 90.00°, 90.00° and 120.00°. The distinct sites, in fractional coordinates, are V at (0.0000, 0.0000, 0.0000), In at (0.0000, 0.0000, 0.0925) and Cu at (0.0000, 0.0000, 0.5000).

The calculation puts the calculated formation energy at 0.599 eV per atom. For the energy, the calculation gives -4.074 eV per atom. The size of the total moment is 3.1 μB/cell. As for the volume: 19.604 Å³/atom.

# 2
TaCr2In2S6: relaxed, PBE.

The structure belongs to space group C2/m (No. 12); the cell edges are 5.595, 9.870 and 8.302 Å and the angles 90.00°, 95.23° and 90.00°. The distinct sites, in fractional coordinates, are Ta at (0.000, 0.000, 0.000), Cr at (0.000, 0.365, 0.000), In at (0.000, 0.163, 0.500), S at (0.181, 0.500, 0.192) and S at (0.198, 0.180, 0.165).

For the energy, the calculation gives -6.163 eV per atom. The size of the total moment is 0.7 μB/cell. As for the volume: 20.751 Å³/atom.

# 3
Er2Ga5AgRu2: relaxed, PBE.

The structure belongs to space group P4/mbm (No. 127); the cell edges are 9.456, 9.456 and 4.103 Å and the angles 90.00°, 90.00° and 90.00°. The distinct sites, in fractional coordinates, are Er at (0.180, 0.320, 0.000), Ga at (0.000, 0.500, 0.500), Ga at (0.063, 0.791, 0.500), Ag at (0.000, 0.000, 0.000) and Ru at (0.115, 0.615, 0.000).

The calculation puts the calculated formation energy at -0.372 eV per atom. For the energy, the calculation gives -4.939 eV per atom. The size of the total moment is 0.0 μB/cell. As for the volume: 18.343 Å³/atom.

# 4
Tb4CuRu: relaxed, PBE.

The structure belongs to space group P2_1/c (No. 14); the cell edges are 6.925, 6.857 and 6.858 Å and the angles 90.00°, 92.69° and 90.00°. The distinct sites, in fractional coordinates, are Tb at (0.157, 0.161, 0.176), Tb at (0.330, 0.661, 0.152), Cu at (0.500, 0.000, 0.000) and Ru at (0.000, 0.000, 0.500).

The calculation puts the calculated formation energy at -0.157 eV per atom. For the energy, the calculation gives -5.472 eV per atom. The size of the total moment is 0.0 μB/cell. As for the volume: 27.107 Å³/atom. As for the energy above the most stable polymorph in this dataset: 5.1 kJ/mol of atoms.

# 5
Li2GaReN4: relaxed, PBE.

The structure belongs to space group Pmn2_1 (No. 31); the cell edges are 6.394, 5.807 and 5.262 Å and the angles 90.00°, 90.00° and 90.00°. The distinct sites, in fractional coordinates, are Li at (0.249, 0.167, 0.000), Ga at (0.000, 0.670, 0.005), Re at (0.000, 0.337, 0.507), N at (0.000, 0.363, 0.850), N at (0.000, 0.626, 0.375) and N at (0.239, 0.182, 0.406).

For the energy, the calculation gives -6.988 eV per atom. The size of the total moment is 0.0 μB/cell. As for the volume: 12.210 Å³/atom.

# 6
Li3Mg2Ag: relaxed, PBE.

The structure belongs to space group C2/c (No. 15); the cell edges are 5.837, 9.557 and 8.015 Å and the angles 90.00°, 90.31° and 90.00°. The distinct sites, in fractional coordinates, are Li at (0.000, 0.115, 0.250), Li at (0.163, 0.135, 0.921), Mg at (0.165, 0.383, 0.414) and Ag at (0.000, 0.365, 0.750).

The calculation puts the calculated formation energy at -0.125 eV per atom. For the energy, the calculation gives -2.088 eV per atom. The size of the total moment is 0.0 μB/cell. As for the volume: 18.630 Å³/atom. As for the energy above the most stable polymorph in this dataset: 0.0 kJ/mol of atoms.

# 7
Ta2Se8I: relaxed, PBE.

The structure belongs to space group I422 (No. 97); the cell edges are 9.770, 9.770 and 12.983 Å and the angles 90.00°, 90.00° and 90.00°. The distinct sites, in fractional coordinates, are Ta at (0.000, 0.500, 0.000), Ta at (0.000, 0.500, 0.250), Se at (0.045, 0.289, 0.370), Se at (0.118, 0.315, 0.880) and I at (0.000, 0.000, 0.154).

For the energy, the calculation gives -5.360 eV per atom. The size of the total moment is 0.0 μB/cell. As for the volume: 28.167 Å³/atom.

# 8
CaSi: relaxed, PBE.

The structure belongs to space group Cmcm (No. 63); the cell edges are 4.546, 13.095 and 6.405 Å and the angles 90.00°, 90.00° and 90.00°. The distinct sites, in fractional coordinates, are Ca at (0.000, 0.048, 0.250), Ca at (0.000, 0.225, 0.750) and Si at (0.000, 0.409, 0.062).

For the energy, the calculation gives -4.238 eV per atom. The size of the total moment is 0.0 μB/cell. As for the volume: 23.830 Å³/atom.

# 9
YMn2Os: relaxed, PBE.

The structure belongs to space group Amm2 (No. 38); the cell edges are 3.987, 2.975 and 11.089 Å and the angles 90.00°, 90.00° and 90.00°. The distinct sites, in fractional coordinates, are Y at (0.000, 0.000, 0.000), Mn at (0.000, 0.000, 0.748), Mn at (0.500, 0.000, 0.647) and Os at (0.500, 0.000, 0.333).

The calculation puts the calculated formation energy at 0.317 eV per atom. For the energy, the calculation gives -8.691 eV per atom. The size of the total moment is 1.3 μB/cell. As for the volume: 16.439 Å³/atom. As for the energy above the most stable polymorph in this dataset: 16.0 kJ/mol of atoms.

# 10
AcPr4Ni2: relaxed, PBE.

The structure belongs to space group P2_1/m (No. 11); the cell edges are 7.397, 6.908 and 8.558 Å and the angles 90.00°, 108.54° and 90.00°. The distinct sites, in fractional coordinates, are Ac at (0.128, 0.250, 0.038), Pr at (0.060, 0.250, 0.431), Pr at (0.266, 0.750, 0.346), Pr at (0.386, 0.505, 0.775), Ni at (0.311, 0.750, 0.021) and Ni at (0.398, 0.250, 0.386).

The calculation puts the calculated formation energy at -0.067 eV per atom. For the energy, the calculation gives -5.037 eV per atom. The size of the total moment is 0.0 μB/cell. As for the volume: 29.620 Å³/atom.

# 11
Nd2Al3CdAg4: relaxed, PBE.

The structure belongs to space group P-4m2 (No. 115); the cell edges are 4.422, 4.422 and 11.122 Å and the angles 90.00°, 90.00° and 90.00°. The distinct sites, in fractional coordinates, are Nd at (0.000, 0.500, 0.241), Al at (0.000, 0.500, 0.873), Al at (0.500, 0.500, 0.500), Cd at (0.000, 0.000, 0.500), Ag at (0.000, 0.000, 0.000), Ag at (0.000, 0.500, 0.646) and Ag at (0.500, 0.500, 0.000).

The calculation puts the calculated formation energy at -0.283 eV per atom. For the energy, the calculation gives -3.592 eV per atom. The size of the total moment is 0.0 μB/cell. As for the volume: 21.745 Å³/atom.

# 12
CuH2OsCl: relaxed, PBE.

The structure belongs to space group P4/mmm (No. 123); the cell edges are 3.395, 3.395 and 8.127 Å and the angles 90.00°, 90.00° and 90.00°. The distinct sites, in fractional coordinates, are Cu at (0.000, 0.000, 0.000), H at (0.000, 0.500, 0.500), Os at (0.500, 0.500, 0.000) and Cl at (0.000, 0.000, 0.500).

For the energy, the calculation gives -3.449 eV per atom. The size of the total moment is 2.3 μB/cell. As for the volume: 18.732 Å³/atom. As for the energy above the most stable polymorph in this dataset: 0.0 kJ/mol of atoms.

# 13
Hf7Ti2Sn3: relaxed, PBE.

The structure belongs to space group Cmmm (No. 65); the cell edges are 5.094, 32.188 and 3.186 Å and the angles 90.00°, 90.00° and 90.00°. The distinct sites, in fractional coordinates, are Hf at (0.000, 0.000, 0.000), Hf at (0.000, 0.089, 0.500), Hf at (0.000, 0.268, 0.000), Hf at (0.000, 0.423, 0.000), Ti at (0.000, 0.173, 0.000), Sn at (0.000, 0.346, 0.500) and Sn at (0.000, 0.500, 0.500).

The calculation puts the calculated formation energy at 0.007 eV per atom. For the energy, the calculation gives -8.116 eV per atom. The size of the total moment is 0.0 μB/cell. As for the volume: 21.769 Å³/atom. As for the energy above the most stable polymorph in this dataset: 0.0 kJ/mol of atoms.

# 14
La3NdSm6Dy2: relaxed, PBE.

The structure belongs to space group C2/m (No. 12); the cell edges are 6.317, 10.951 and 12.110 Å and the angles 90.00°, 100.06° and 90.00°. The distinct sites, in fractional coordinates, are La at (0.000, 0.000, 0.000), La at (0.000, 0.333, 0.000), Nd at (0.000, 0.500, 0.500), Sm at (0.248, 0.000, 0.746), Sm at (0.249, 0.333, 0.745) and Dy at (0.000, 0.167, 0.500).

The calculation puts the calculated formation energy at 0.019 eV per atom. For the energy, the calculation gives -4.737 eV per atom. The size of the total moment is 0.0 μB/cell. As for the volume: 34.367 Å³/atom.

# 15
CdSn: relaxed, PBE.

The structure belongs to space group P-1 (No. 2); the cell edges are 4.409, 5.175 and 6.318 Å and the angles 110.02°, 90.44° and 115.00°. The distinct sites, in fractional coordinates, are Cd at (0.162, 0.324, 0.334) and Sn at (0.170, 0.340, 0.835).

The calculation puts the calculated formation energy at 0.081 eV per atom. For the energy, the calculation gives -2.378 eV per atom. The size of the total moment is 0.0 μB/cell. As for the volume: 30.189 Å³/atom.

# 16
LaCoAsSe2: relaxed, PBE.

The structure belongs to space group P4/mmm (No. 123); the cell edges are 4.996, 4.996 and 4.352 Å and the angles 90.00°, 90.00° and 90.00°. The distinct sites, in fractional coordinates, are La at (0.000, 0.000, 0.000), Co at (0.500, 0.500, 0.500), As at (0.500, 0.500, 0.000) and Se at (0.000, 0.500, 0.500).

For the energy, the calculation gives -5.455 eV per atom. The size of the total moment is 0.0 μB/cell. As for the volume: 21.722 Å³/atom. As for the energy above the most stable polymorph in this dataset: 0.0 kJ/mol of atoms.

# 17
Li2Br2O7: relaxed, PBE.

The structure belongs to space group C2/m (No. 12); the cell edges are 8.173, 8.401 and 5.106 Å and the angles 90.00°, 115.96° and 90.00°. The distinct sites, in fractional coordinates, are Li at (0.000, 0.188, 0.000), Br at (0.210, 0.500, 0.401), O at (0.000, 0.500, 0.500), O at (0.093, 0.000, 0.292) and O at (0.216, 0.341, 0.209).

For the energy, the calculation gives -4.144 eV per atom. The size of the total moment is 0.0 μB/cell. As for the volume: 14.328 Å³/atom. As for the energy above the most stable polymorph in this dataset: 8.8 kJ/mol of atoms.

# 18
Cs2PmCdI6: relaxed, PBE.

The structure belongs to space group Immm (No. 71); the cell edges are 8.923, 8.926 and 12.594 Å and the angles 90.00°, 90.00° and 90.00°. The distinct sites, in fractional coordinates, are Cs at (0.000, 0.000, 0.249), Pm at (0.000, 0.500, 0.500), Cd at (0.000, 0.500, 0.000), I at (0.000, 0.500, 0.254) and I at (0.246, 0.255, 0.500).

For the energy, the calculation gives -2.869 eV per atom. The size of the total moment is 0.0 μB/cell. As for the volume: 50.151 Å³/atom.

# 19
NiMoS3: relaxed, PBE.

The structure belongs to space group Pm-3m (No. 221); the cell edges are 4.372, 4.372 and 4.372 Å and the angles 90.00°, 90.00° and 90.00°. The distinct sites, in fractional coordinates, are Ni at (0.000, 0.000, 0.000), Mo at (0.500, 0.500, 0.500) and S at (0.000, 0.000, 0.500).

For the energy, the calculation gives -5.180 eV per atom. The size of the total moment is 2.3 μB/cell. As for the volume: 16.712 Å³/atom. As for the energy above the most stable polymorph in this dataset: 8.6 kJ/mol of atoms.

# 20
La3TeO3: relaxed, PBE.

The structure belongs to space group P6_3/m (No. 176); the cell edges are 9.4660, 9.4660 and 4.2667 Å and the angles 90.00°, 90.00° and 120.00°. The distinct sites, in fractional coordinates, are La at (0.0882, 0.6922, 0.2500), Te at (0.3333, 0.6667, 0.7500) and O at (0.0478, 0.3830, 0.2500).

For the energy, the calculation gives -7.435 eV per atom. The size of the total moment is 0.0 μB/cell. As for the volume: 23.651 Å³/atom. As for the energy above the most stable polymorph in this dataset: 13.1 kJ/mol of atoms.